11
Lattice="3.461 1.998 5.074 -3.461 1.998 5.074 0.000 -3.996 5.074" Properties=species:S:1:pos:R:3 comment="KSrH6Au3, optimized geometry, DFT PBE" total_energy_ha_per_atom=-0.118 rho_g_cm3=5.7 spacegroup="No. 146" pbc="T T T"
K 0.000 0.000 0.000
Sr 0.000 0.000 6.543
H -1.436 -1.593 5.250
H -2.359 0.490 7.334
H 0.755 -2.288 7.334
H -0.662 2.040 5.250
H 2.098 -0.447 5.250
H 1.604 1.797 7.334
Au -1.901 1.063 8.830
Au 0.030 -2.178 8.830
Au 1.872 1.115 8.830